P.
VASP calculation (PBE-GGA) on an optimized crystal structure of LiBe2Cl.

a b c (Å): 4.6805 4.6805 4.6805
angles (deg): 60.00 60.00 60.00
Sites, in units of the cell vectors:
Li: 0.0000 0.0000 0.0000
Be: 0.2500 0.2500 0.2500
Be: 0.7500 0.7500 0.7500
Cl: 0.5000 0.5000 0.5000

=====

Q.
VASP calculation (PBE-GGA) on an optimized crystal structure of LiBe2Cl.

a b c (Å): 8.7706 8.7706 3.1415
angles (deg): 99.39 99.39 20.64
Sites, in units of the cell vectors:
Li: 0.0000 0.0000 0.0000
Be: 0.2500 0.2500 0.7500
Be: 0.7500 0.7500 0.2500
Cl: 0.5000 0.5000 0.5000

=====

Relative energies, in kJ/mol of atoms, with the most stable structure set to zero: P 114.6; Q 0.0.

=====

P.
VASP calculation (PBE-GGA) on an optimized crystal structure of Li2BeCl2.

a b c (Å): 7.3744 7.3744 7.3744
angles (deg): 141.36 141.36 55.79
Sites, in units of the cell vectors:
Li: 0.2474 0.2474 0.0000
Li: 0.7526 0.7526 0.0000
Be: 0.0000 0.0000 0.0000
Cl: 0.2500 0.7500 0.5000
Cl: 0.7500 0.2500 0.5000

=====

Q.
VASP calculation (PBE-GGA) on an optimized crystal structure of Li2BeCl2.

a b c (Å): 8.3233 8.3233 8.3233
angles (deg): 149.88 149.88 43.12
Sites, in units of the cell vectors:
Li: 0.2500 0.7500 0.5000
Li: 0.7500 0.2500 0.5000
Be: 0.0000 0.0000 0.0000
Cl: 0.3160 0.3160 0.0000
Cl: 0.6840 0.6840 0.0000

=====

Relative energies, in kJ/mol of atoms, with the most stable structure set to zero: P 4.9; Q 0.0.

=====

P.
VASP calculation (PBE-GGA) on an optimized crystal structure of Li2Be2Cl.

a b c (Å): 6.4086 6.4086 3.6463
angles (deg): 90.00 90.00 90.00
Sites, in units of the cell vectors:
Li: 0.1603 0.3397 0.0000
Li: 0.3397 0.8397 0.0000
Li: 0.6603 0.1603 0.0000
Li: 0.8397 0.6603 0.0000
Be: 0.1184 0.6184 0.5000
Be: 0.3816 0.1184 0.5000
Be: 0.6184 0.8816 0.5000
Be: 0.8816 0.3816 0.5000
Cl: 0.0000 0.0000 0.5000
Cl: 0.5000 0.5000 0.5000

=====

Q.
VASP calculation (PBE-GGA) on an optimized crystal structure of Li2Be2Cl.

a b c (Å): 6.5317 6.5317 6.5317
angles (deg): 146.13 146.13 48.65
Sites, in units of the cell vectors:
Li: 0.2500 0.7500 0.5000
Li: 0.7500 0.2500 0.5000
Be: 0.0900 0.0900 0.0000
Be: 0.9100 0.9100 0.0000
Cl: 0.5000 0.5000 0.0000

=====

Relative energies, in kJ/mol of atoms, with the most stable structure set to zero: P 0.0; Q 22.9.

=====

P.
VASP calculation (PBE-GGA) on an optimized crystal structure of LiBeP2Cl.

a b c (Å): 4.4003 4.4003 4.5304
angles (deg): 90.00 90.00 90.00
Sites, in units of the cell vectors:
Li: 0.0000 0.0000 0.0000
Be: 0.5000 0.5000 0.5000
P: 0.0000 0.5000 0.0000
P: 0.5000 0.0000 0.0000
Cl: 0.0000 0.0000 0.5000

=====

Q.
VASP calculation (PBE-GGA) on an optimized crystal structure of LiBeP2Cl.

a b c (Å): 3.9829 3.9829 8.0952
angles (deg): 90.00 90.00 90.00
Sites, in units of the cell vectors:
Li: 0.0000 0.0000 0.0000
Be: 0.5000 0.5000 0.5000
P: 0.0000 0.5000 0.5000
P: 0.5000 0.0000 0.5000
Cl: 0.5000 0.5000 0.0000

=====

Relative energies, in kJ/mol of atoms, with the most stable structure set to zero: P 92.0; Q 0.0.

=====

P.
VASP calculation (PBE-GGA) on an optimized crystal structure of MgBe2Cl.

a b c (Å): 3.0017 3.0017 8.1319
angles (deg): 90.00 90.00 90.00
Sites, in units of the cell vectors:
Mg: 0.0000 0.0000 0.0000
Be: 0.0000 0.0000 0.3285
Be: 0.5000 0.5000 0.2536
Cl: 0.5000 0.5000 0.8213

=====

Q.
VASP calculation (PBE-GGA) on an optimized crystal structure of MgBe2Cl.

a b c (Å): 2.9690 3.1646 7.9629
angles (deg): 90.00 93.35 90.00
Sites, in units of the cell vectors:
Mg: 0.0000 0.0000 0.0000
Be: 0.0464 0.5000 0.3141
Be: 0.5428 0.0000 0.2901
Cl: 0.4728 0.5000 0.8260

=====

R.
VASP calculation (PBE-GGA) on an optimized crystal structure of MgBe2Cl.

a b c (Å): 4.7150 4.7150 4.7150
angles (deg): 60.00 60.00 60.00
Sites, in units of the cell vectors:
Mg: 0.0000 0.0000 0.0000
Be: 0.2500 0.2500 0.2500
Be: 0.7500 0.7500 0.7500
Cl: 0.5000 0.5000 0.5000

=====

S.
VASP calculation (PBE-GGA) on an optimized crystal structure of MgBe2Cl.

a b c (Å): 4.9014 4.9014 3.3022
angles (deg): 90.00 90.00 122.97
Sites, in units of the cell vectors:
Mg: 0.0000 0.0000 0.0000
Be: 0.0000 0.5000 0.5000
Be: 0.5000 0.0000 0.5000
Cl: 0.5000 0.5000 0.0000

=====

Relative energies, in kJ/mol of atoms, with the most stable structure set to zero: P 1.2; Q 0.0; R 98.2; S 39.9.

=====

P.
VASP calculation (PBE-GGA) on an optimized crystal structure of MgBe2Cl.

a b c (Å): 6.1304 6.1304 6.1304
angles (deg): 147.30 147.30 46.91
Sites, in units of the cell vectors:
Mg: 0.0000 0.0000 0.0000
Be: 0.2500 0.7500 0.5000
Be: 0.7500 0.2500 0.5000
Cl: 0.5000 0.5000 0.0000

=====

Q.
VASP calculation (PBE-GGA) on an optimized crystal structure of MgBe2Cl.

a b c (Å): 3.3663 3.3663 6.1491
angles (deg): 90.00 90.00 90.00
Sites, in units of the cell vectors:
Mg: 0.0000 0.0000 0.0000
Be: 0.0000 0.5000 0.5000
Be: 0.5000 0.0000 0.5000
Cl: 0.5000 0.5000 0.0000

=====

Relative energies, in kJ/mol of atoms, with the most stable structure set to zero: P 0.6; Q 0.0.

=====

P.
VASP calculation (PBE-GGA) on an optimized crystal structure of MgBe2Cl.

a b c (Å): 6.2173 6.2173 6.2173
angles (deg): 153.43 141.92 47.04
Sites, in units of the cell vectors:
Mg: 0.0000 0.0000 0.0000
Be: 0.2402 0.7402 0.5000
Be: 0.7598 0.2598 0.5000
Cl: 0.5000 0.5000 0.0000

=====

Q.
VASP calculation (PBE-GGA) on an optimized crystal structure of MgBe2Cl.

a b c (Å): 7.5522 7.5522 7.5522
angles (deg): 23.69 23.69 23.69
Sites, in units of the cell vectors:
Mg: 0.0000 0.0000 0.0000
Be: 0.2432 0.2432 0.2432
Be: 0.7568 0.7568 0.7568
Cl: 0.5000 0.5000 0.5000

=====

R.
VASP calculation (PBE-GGA) on an optimized crystal structure of MgBe2Cl.

a b c (Å): 3.8365 3.8365 7.2354
angles (deg): 100.79 100.79 51.14
Sites, in units of the cell vectors:
Mg: 0.0000 0.0000 0.0000
Be: 0.2930 0.2930 0.7379
Be: 0.6000 0.6000 0.7475
Cl: 0.7320 0.7320 0.2015

=====

Relative energies, in kJ/mol of atoms, with the most stable structure set to zero: P 24.4; Q 26.2; R 0.0.

=====

P.
VASP calculation (PBE-GGA) on an optimized crystal structure of MgBeCl2.

a b c (Å): 12.4072 12.4072 12.4072
angles (deg): 16.09 16.09 16.09
Sites, in units of the cell vectors:
Mg: 0.0000 0.0000 0.0000
Be: 0.5000 0.5000 0.5000
Cl: 0.2940 0.2940 0.2940
Cl: 0.7060 0.7060 0.7060

=====

Q.
VASP calculation (PBE-GGA) on an optimized crystal structure of MgBeCl2.

a b c (Å): 3.1073 3.1073 8.4235
angles (deg): 90.00 90.00 90.00
Sites, in units of the cell vectors:
Mg: 0.0000 0.0000 0.0000
Be: 0.5000 0.5000 0.2605
Cl: 0.0000 0.0000 0.3878
Cl: 0.5000 0.5000 0.8260

=====

R.
VASP calculation (PBE-GGA) on an optimized crystal structure of MgBeCl2.

a b c (Å): 5.2855 3.2419 5.4783
angles (deg): 90.00 112.41 90.00
Sites, in units of the cell vectors:
Mg: 0.0000 0.0000 0.0000
Be: 0.1806 0.5000 0.6997
Cl: 0.4417 0.0000 0.6862
Cl: 0.8786 0.5000 0.3223

=====

Relative energies, in kJ/mol of atoms, with the most stable structure set to zero: P 23.8; Q 31.8; R 0.0.

=====

P.
VASP calculation (PBE-GGA) on an optimized crystal structure of MgBeCl2.

a b c (Å): 3.4101 3.4101 10.5152
angles (deg): 90.00 90.00 117.15
Sites, in units of the cell vectors:
Mg: 0.0000 0.0000 0.0000
Be: 0.0000 0.0000 0.5000
Cl: 0.5000 0.5000 0.1533
Cl: 0.5000 0.5000 0.8467

=====

Q.
VASP calculation (PBE-GGA) on an optimized crystal structure of MgBeCl2.

a b c (Å): 3.6401 3.6401 8.8490
angles (deg): 90.00 90.00 126.76
Sites, in units of the cell vectors:
Mg: 0.0000 0.0000 0.0000
Be: 0.5000 0.5000 0.2546
Cl: 0.0000 0.0000 0.3952
Cl: 0.5000 0.5000 0.8066

=====

Relative energies, in kJ/mol of atoms, with the most stable structure set to zero: P 36.0; Q 0.0.

=====

P.
VASP calculation (PBE-GGA) on an optimized crystal structure of MgBeCl2.

a b c (Å): 6.8895 6.8895 6.8895
angles (deg): 153.64 137.43 50.77
Sites, in units of the cell vectors:
Mg: 0.0000 0.0000 0.0000
Be: 0.5000 0.5000 0.0000
Cl: 0.3784 0.8784 0.5000
Cl: 0.6216 0.1216 0.5000

=====

Q.
VASP calculation (PBE-GGA) on an optimized crystal structure of MgBeCl2.

a b c (Å): 3.5403 3.5403 8.9422
angles (deg): 104.41 104.41 54.95
Sites, in units of the cell vectors:
Mg: 0.0000 0.0000 0.0000
Be: 0.2447 0.2447 0.7509
Cl: 0.6424 0.6424 0.6067
Cl: 0.7502 0.7502 0.1725

=====

R.
VASP calculation (PBE-GGA) on an optimized crystal structure of MgBeCl2.

a b c (Å): 6.2742 6.2742 6.2742
angles (deg): 150.45 100.21 87.29
Sites, in units of the cell vectors:
Mg: 0.0000 0.0000 0.0000
Be: 0.7558 0.2558 0.5000
Cl: 0.1982 0.6982 0.5000
Cl: 0.6151 0.6151 0.0000

=====

Relative energies, in kJ/mol of atoms, with the most stable structure set to zero: P 20.5; Q 0.0; R 12.4.

=====

P.
VASP calculation (PBE-GGA) on an optimized crystal structure of MgBeCl2.

a b c (Å): 3.3159 3.8943 5.9521
angles (deg): 90.00 90.00 90.00
Sites, in units of the cell vectors:
Mg: 0.0000 0.0000 0.0000
Be: 0.5000 0.0000 0.5000
Cl: 0.0000 0.5000 0.5000
Cl: 0.5000 0.5000 0.0000

=====

Q.
VASP calculation (PBE-GGA) on an optimized crystal structure of MgBeCl2.

a b c (Å): 4.8862 4.8862 4.8862
angles (deg): 60.00 60.00 60.00
Sites, in units of the cell vectors:
Mg: 0.0000 0.0000 0.0000
Be: 0.7500 0.7500 0.7500
Cl: 0.2500 0.2500 0.2500
Cl: 0.5000 0.5000 0.5000

=====

Relative energies, in kJ/mol of atoms, with the most stable structure set to zero: P 0.0; Q 36.0.

=====

P.
VASP calculation (PBE-GGA) on an optimized crystal structure of MgBeCl4.

a b c (Å): 6.1720 6.1720 14.2194
angles (deg): 90.00 90.00 120.00
Sites, in units of the cell vectors:
Mg: 0.0000 0.4558 0.1667
Mg: 0.4558 0.0000 0.8333
Mg: 0.5442 0.5442 0.5000
Be: 0.0000 0.4558 0.6667
Be: 0.4558 0.0000 0.3333
Be: 0.5442 0.5442 0.0000
Cl: 0.0575 0.6746 0.7816
Cl: 0.1068 0.7061 0.3042
Cl: 0.2939 0.4006 0.6376
Cl: 0.3254 0.3829 0.1149
Cl: 0.3829 0.3254 0.8851
Cl: 0.4006 0.2939 0.3624
Cl: 0.5994 0.8932 0.9709
Cl: 0.6171 0.9425 0.4483
Cl: 0.6746 0.0575 0.2184
Cl: 0.7061 0.1068 0.6958
Cl: 0.8932 0.5994 0.0291
Cl: 0.9425 0.6171 0.5517

=====

Q.
VASP calculation (PBE-GGA) on an optimized crystal structure of MgBeCl4.

a b c (Å): 5.8956 5.8956 5.8956
angles (deg): 60.00 60.00 60.00
Sites, in units of the cell vectors:
Mg: 0.0000 0.0000 0.0000
Be: 0.7500 0.7500 0.7500
Cl: 0.3750 0.3750 0.3750
Cl: 0.3750 0.3750 0.8750
Cl: 0.3750 0.8750 0.3750
Cl: 0.8750 0.3750 0.3750

=====

Relative energies, in kJ/mol of atoms, with the most stable structure set to zero: P 0.0; Q 211.3.